TiZn2, single point on PBEsol structure, DFT meta-GGA SCAN; energy relative to the elements = -332 meV/atom
1.0
-2.765 1.090 4.012
0.111 -4.671 -1.761
6.246 -1.642 4.750
Ti Zn
4 8
Cartesian
1.857 -3.462 2.220
4.021 -2.363 6.520
1.735 -1.762 4.781
-0.429 -2.861 0.482
3.123 -0.821 2.375
0.000 0.000 0.000
0.630 -0.839 2.264
4.302 -4.913 2.793
4.248 -2.650 3.647
-0.656 -2.574 3.354
-0.710 -0.310 4.208
2.962 -4.385 4.738